The following is a PBE calculation of a geometry-optimized LiCr2SnPb structure, from Alexandria via LeMat-Bulk.

Unit cell a=5.2831 b=5.2831 c=5.9446 alpha=90.00 beta=90.00 gamma=90.00
Last column: nearest neighbours and their distance in Å.
Fractional positions:
Li: 0.0000 0.0000 0.0000  4 Sn 3.74, 8 Cr 3.98
Cr: 0.0000 0.5000 0.5000  2 Pb 2.64
Cr: 0.5000 0.0000 0.5000  2 Pb 2.64
Sn: 0.5000 0.5000 0.0000  2 Pb 2.97
Pb: 0.5000 0.5000 0.5000  4 Cr 2.64

Properties
Formation enthalpy at 0 K = 1.092 eV/atom
Volume = 166 Å³ per cell
Size of the total moment = 8.91 Bohr magnetons per cell
Total DFT energy (no corrections) = -23.41 eV per cell